[1]
The following is a DFT calculation (PBE) of a relaxed structure of IrRu3.

a = 5.4336 Å, b = 13.1953 Å, c = 4.7093 Å
α = 90.00°, β = 90.00°, γ = 90.00°
Fractional coordinates of all 24 atoms:
Ir 0.2500 0.0845 0.1666
Ir 0.2500 0.4155 0.1666
Ir 0.2500 0.7500 0.5000
Ir 0.7500 0.2500 0.5000
Ir 0.7500 0.5845 0.8334
Ir 0.7500 0.9155 0.8334
Ru 0.0005 0.0857 0.6679
Ru 0.9999 0.2500 0.9995
Ru 0.0005 0.4143 0.6679
Ru 0.9995 0.5857 0.3321
Ru 0.0001 0.7500 0.0005
Ru 0.9995 0.9143 0.3321
Ru 0.2500 0.2500 0.5001
Ru 0.2500 0.5851 0.8333
Ru 0.2500 0.9149 0.8333
Ru 0.4995 0.0857 0.6679
Ru 0.5001 0.2500 0.9995
Ru 0.4995 0.4143 0.6679
Ru 0.5005 0.5857 0.3321
Ru 0.4999 0.7500 0.0005
Ru 0.5005 0.9143 0.3321
Ru 0.7500 0.0851 0.1667
Ru 0.7500 0.4149 0.1667
Ru 0.7500 0.7500 0.4999

Properties
VASP energy   -219.8 eV per cell
E_form   0.05 eV per formula unit
Total magnetization   0.000 μB/atom
N(E_F)   25.14 states/eV/cell

[2]
The following is a DFT calculation (PBE) of a relaxed structure of CdReF2.

a = 8.9936 Å, b = 8.9936 Å, c = 8.9936 Å
α = 17.61°, β = 17.61°, γ = 17.61°
Fractional coordinates of all 4 atoms:
Cd 0.0000 0.0000 0.0000
Re 0.5000 0.5000 0.5000
F 0.0984 0.0984 0.0984
F 0.9016 0.9016 0.9016

Properties
VASP energy   -19.0 eV per cell
ΔE to the lowest computed polymorph   0.525 eV/atom
Total magnetization   0.000 μB/atom
N(E_F)   3.22 states/eV/cell

[3]
The following is a DFT calculation (PBE) of a relaxed structure of NaRuSO2.

a = 3.7509 Å, b = 3.7509 Å, c = 6.9085 Å
α = 90.00°, β = 90.00°, γ = 90.00°
Fractional coordinates of all 5 atoms:
Na 0.0000 0.0000 0.0000
Ru 0.0000 0.0000 0.5000
S 0.5000 0.5000 0.0000
O 0.0000 0.5000 0.5000
O 0.5000 0.0000 0.5000

Properties
VASP energy   -26.5 eV per cell
Total magnetization   0.212 μB/atom
N(E_F)   3.61 states/eV/cell

[4]
The following is a DFT calculation (PBE) of a relaxed structure of Cs2PrSbS4.

a = 8.8717 Å, b = 8.8717 Å, c = 8.8717 Å
α = 120.02°, β = 119.93°, γ = 90.05°
Fractional coordinates of all 16 atoms:
Cs 0.0000 0.0000 0.0000
Cs 0.5000 0.0000 0.0000
Cs 0.5000 0.0000 0.5000
Cs 0.5000 0.5000 0.5000
Pr 0.0000 0.0000 0.5000
Pr 0.0000 0.5000 0.0000
Sb 0.0000 0.5000 0.5000
Sb 0.5000 0.5000 0.0000
S 0.1879 0.7267 0.4612
S 0.2314 0.2747 0.5433
S 0.2314 0.6880 0.9567
S 0.2346 0.2733 0.9612
S 0.7654 0.7267 0.0388
S 0.7686 0.3120 0.0433
S 0.7686 0.7253 0.4567
S 0.8121 0.2733 0.5388

Properties
VASP energy   -72.6 eV per cell
Total magnetization   0.000 μB/atom

[5]
The following is a DFT calculation (PBE) of a relaxed structure of HfFeAs2.

a = 5.7835 Å, b = 5.7835 Å, c = 5.7835 Å
α = 38.05°, β = 38.05°, γ = 38.05°
Fractional coordinates of all 4 atoms:
Hf 0.0000 0.0000 0.0000
Fe 0.5000 0.5000 0.5000
As 0.2338 0.2338 0.2338
As 0.7662 0.7662 0.7662

Properties
VASP energy   -29.2 eV per cell
ΔE to the lowest computed polymorph   0.000 eV/atom
E_form   -1.45 eV per formula unit
Total magnetization   0.000 μB/atom
N(E_F)   1.24 states/eV/cell

What did the third record say?
The following is a DFT calculation (PBE) of a relaxed structure of NaRuSO2.

a = 3.7509 Å, b = 3.7509 Å, c = 6.9085 Å
α = 90.00°, β = 90.00°, γ = 90.00°
Fractional coordinates of all 5 atoms:
Na 0.0000 0.0000 0.0000
Ru 0.0000 0.0000 0.5000
S 0.5000 0.5000 0.0000
O 0.0000 0.5000 0.5000
O 0.5000 0.0000 0.5000

Properties
VASP energy   -26.5 eV per cell
Total magnetization   0.212 μB/atom
N(E_F)   3.61 states/eV/cell